A plane-wave DFT calculation with PBE was carried out for an optimized crystal structure of LiAcZn4.

Unit cell a=9.519 b=9.519 c=11.453 alpha=90.00 beta=90.00 gamma=90.00
Space group I4/mmm (No. 139)
Asymmetric unit:
Li (0.000, 0.190, 0.000) (multiplicity 8)
Ac (0.000, 0.000, 0.341) (multiplicity 4)
Ac (0.000, 0.500, 0.250) (multiplicity 4)
Zn (0.125, 0.310, 0.500) (multiplicity 16)
Zn (0.189, 0.189, 0.169) (multiplicity 16)

Properties
The calculation puts the energy above the most stable polymorph in this dataset at 69.0 meV/atom. For the density of states at the Fermi level, the calculation gives 3.051 states/eV/f.u. The crystal system is tetragonal. The energy of formation from the pure elements is -0.11 eV/atom.